Entry 1:
CsGePt2Se: optimized geometry, GGA-PBEsol.

Computed properties:
The value obtained for the size of the total moment is 0.00 μB/atom. As for the energy relative to the elements, uncorrected: 0.223 eV/atom.

abc: 4.786 4.786 5.316
angles: 90.00 90.00 90.00
Positions (direct):
Ge 0.000 0.000 0.000
Se 0.000 0.000 0.500
Pt 0.000 0.500 0.000
Pt 0.500 0.000 0.000
Cs 0.500 0.500 0.500

=====

Entry 2:
CsTl2GePt: optimized geometry, GGA-PBEsol.

Computed properties:
As for the formation energy: 7.188 eV/f.u. The value obtained for the size of the total moment is 0.00 μB/atom.

abc: 5.119 6.228 6.228
angles: 90.00 90.00 90.00
Positions (direct):
Pt 0.500 0.000 0.000
Tl 0.000 0.000 0.500
Tl 0.000 0.500 0.000
Ge 0.500 0.500 0.500
Cs 0.000 0.000 0.000

=====

Entry 3:
CsRe3Ge: optimized geometry, GGA-PBEsol.

Computed properties:
As for the formation energy: 11.899 eV/f.u. The value obtained for the size of the total moment is 0.85 μB/atom.

abc: 4.747 4.747 4.747
angles: 90.00 90.00 90.00
Each line ends with the local moment (μB).
Positions (direct):
Ge 0.000 0.000 0.000  -0.03
Re 0.000 0.500 0.000  1.17
Cs 0.500 0.500 0.500  0.15
Re 0.500 0.000 0.000  1.17
Re 0.000 0.000 0.500  1.17

=====

Entry 4:
CsReGeRu2: optimized geometry, GGA-PBEsol.

Computed properties:
As for the formation energy: 16.876 eV/f.u. The value obtained for the size of the total moment is 0.78 μB/atom.

abc: 4.807 4.807 5.002
angles: 90.00 90.00 90.00
Each line ends with the local moment (μB).
Positions (direct):
Re 0.000 0.000 0.500  1.92
Cs 0.000 0.000 0.000  0.03
Ru 0.500 0.000 0.000  0.88
Ru 0.000 0.500 0.000  0.88
Ge 0.500 0.500 0.500  -0.07

=====

Entry 5:
CsGeRh3: optimized geometry, GGA-PBEsol.

Computed properties:
As for the formation energy: 3.261 eV/f.u. The value obtained for the size of the total moment is 0.12 μB/atom.

abc: 4.673 4.673 4.673
angles: 90.00 90.00 90.00
Each line ends with the local moment (μB).
Positions (direct):
Rh 0.000 0.000 0.500  0.21
Ge 0.000 0.000 0.000  -0.01
Rh 0.000 0.500 0.000  0.21
Rh 0.500 0.000 0.000  0.21
Cs 0.500 0.500 0.500  0.00

=====

Entry 6:
CsGe2Rh2: optimized geometry, GGA-PBEsol.

Computed properties:
As for the formation energy: -1.964 eV/f.u. The value obtained for the size of the total moment is 0.00 μB/atom.

abc: 4.118 4.118 7.577
angles: 105.77 105.77 90.00
Positions (direct):
Cs 0.000 0.000 0.000
Rh 0.250 0.750 0.500
Ge 0.339 0.339 0.677
Rh 0.750 0.250 0.500
Ge 0.661 0.661 0.323

=====

Entry 7:
Cs2GeRu: optimized geometry, GGA-PBEsol.

Computed properties:
As for the formation energy: 5.975 eV/f.u. The value obtained for the size of the total moment is 0.20 μB/atom.

abc: 5.501 5.501 5.501
angles: 60.00 60.00 60.00
Each line ends with the local moment (μB).
Positions (direct):
Ru 0.500 0.500 0.500  1.07
Ge 0.000 0.000 0.000  -0.16
Cs 0.250 0.250 0.250  0.00
Cs 0.750 0.750 0.750  0.00

=====

Entry 8:
CsGeRu3: optimized geometry, GGA-PBEsol.

Computed properties:
As for the formation energy: 7.314 eV/f.u. The value obtained for the size of the total moment is 0.79 μB/atom.

abc: 4.700 4.700 4.700
angles: 90.00 90.00 90.00
Each line ends with the local moment (μB).
Positions (direct):
Ru 0.000 0.000 0.500  1.24
Ru 0.000 0.500 0.000  1.24
Cs 0.500 0.500 0.500  0.06
Ge 0.000 0.000 0.000  -0.06
Ru 0.500 0.000 0.000  1.24

=====

Entry 9:
CsTaGeS5: optimized geometry, GGA-PBEsol.

Computed properties:
The value obtained for the size of the total moment is 0.00 μB/atom. As for the energy relative to the elements, uncorrected: -0.883 eV/atom.

abc: 6.922 7.261 9.390
angles: 67.95 76.61 73.23
Positions (direct):
Ge 0.024 0.297 0.628
S 0.573 0.778 0.963
S 0.791 0.115 0.710
S 0.209 0.885 0.290
S 0.916 0.617 0.635
S 0.682 0.868 0.287
Ta 0.756 0.986 0.996
S 0.075 0.749 0.021
Ta 0.244 0.014 0.004
S 0.318 0.132 0.713
S 0.427 0.222 0.037
Cs 0.609 0.361 0.307
Cs 0.391 0.639 0.693
S 0.084 0.383 0.365
S 0.925 0.251 0.979
Ge 0.976 0.703 0.372

=====

Entry 10:
CsSc3Ge: optimized geometry, GGA-PBEsol.

Computed properties:
As for the formation energy: 1.405 eV/f.u. The value obtained for the size of the total moment is 0.00 μB/atom.

abc: 5.289 5.289 5.289
angles: 90.00 90.00 90.00
Positions (direct):
Sc 0.000 0.500 0.000
Cs 0.500 0.500 0.500
Ge 0.000 0.000 0.000
Sc 0.000 0.000 0.500
Sc 0.500 0.000 0.000

=====

Entry 11:
Cs3GeSe: optimized geometry, GGA-PBEsol.

Computed properties:
The value obtained for the size of the total moment is 0.06 μB/atom. As for the energy relative to the elements, uncorrected: 0.049 eV/atom.

abc: 6.375 6.375 6.375
angles: 90.00 90.00 90.00
Each line ends with the local moment (μB).
Positions (direct):
Ge 0.000 0.000 0.000  0.01
Se 0.500 0.500 0.500  0.15
Cs 0.000 0.000 0.500  0.00
Cs 0.500 0.000 0.000  0.00
Cs 0.000 0.500 0.000  0.00

=====

Entry 12:
Cs2GeSe4: optimized geometry, GGA-PBEsol.

Computed properties:
The value obtained for the size of the total moment is 0.00 μB/atom. As for the energy relative to the elements, uncorrected: -0.773 eV/atom.

abc: 7.573 8.514 9.663
angles: 66.77 66.93 63.59
Positions (direct):
Se 0.341 0.359 0.467
Se 0.167 0.641 0.533
Se 0.684 0.907 0.726
Cs 0.593 0.674 0.139
Cs 0.158 0.971 0.714
Se 0.659 0.641 0.533
Se 0.875 0.349 0.902
Cs 0.407 0.326 0.861
Cs 0.842 0.029 0.286
Se 0.833 0.359 0.467
Se 0.316 0.093 0.274
Ge 0.157 0.388 0.297
Ge 0.843 0.612 0.703
Se 0.125 0.651 0.098

=====

Entry 13:
Cs2GeSe3: optimized geometry, GGA-PBEsol.

Computed properties:
The value obtained for the size of the total moment is 0.00 μB/atom. As for the energy relative to the elements, uncorrected: -0.891 eV/atom.

abc: 7.330 8.012 9.334
angles: 72.66 66.88 62.78
Positions (direct):
Se 0.246 0.500 0.500
Ge 0.117 0.449 0.317
Se 0.110 0.680 0.100
Cs 0.584 0.696 0.136
Se 0.890 0.320 0.900
Se 0.754 0.500 0.500
Cs 0.196 0.928 0.681
Ge 0.883 0.551 0.683
Cs 0.416 0.304 0.864
Cs 0.804 0.072 0.319
Se 0.295 0.137 0.274
Se 0.705 0.863 0.726

=====

Entry 14:
Cs2ZnGe3Se8: optimized geometry, GGA-PBEsol.

Computed properties:
The value obtained for the size of the total moment is 0.00 μB/atom. As for the energy relative to the elements, uncorrected: -0.628 eV/atom.

abc: 7.523 12.584 17.528
angles: 90.00 90.00 90.00
Positions (direct):
Cs 0.248 0.122 0.447
Se 0.766 0.869 0.355
Se 0.234 0.369 0.145
Se 0.477 0.883 0.539
Cs 0.748 0.378 0.553
Se 0.259 0.625 0.052
Se 0.010 0.901 0.761
Se 0.239 0.375 0.344
Ge 0.265 0.446 0.680
Zn 0.511 0.501 0.849
Zn 0.489 0.001 0.651
Ge 0.765 0.054 0.320
Se 0.481 0.881 0.762
Se 0.981 0.619 0.238
Cs 0.252 0.878 0.947
Ge 0.506 0.980 0.152
Se 0.509 0.604 0.454
Se 0.256 0.870 0.151
Se 0.761 0.875 0.156
Zn 0.989 0.499 0.349
Ge 0.735 0.946 0.820
Se 0.759 0.875 0.948
Zn 0.011 0.999 0.151
Se 0.519 0.381 0.738
Se 0.734 0.131 0.855
Cs 0.757 0.690 0.651
Se 0.023 0.117 0.039
Se 0.977 0.617 0.461
Se 0.009 0.896 0.546
Se 0.523 0.383 0.961
Cs 0.243 0.190 0.849
Cs 0.257 0.810 0.349
Se 0.991 0.396 0.954
Ge 0.994 0.020 0.652
Se 0.490 0.099 0.261
Ge 0.239 0.561 0.518
Ge 0.006 0.520 0.848
Ge 0.261 0.439 0.018
Ge 0.235 0.554 0.180
Cs 0.752 0.622 0.053
Ge 0.761 0.061 0.982
Se 0.241 0.375 0.552
Ge 0.494 0.480 0.348
Ge 0.739 0.939 0.482
Se 0.741 0.125 0.448
Se 0.990 0.401 0.739
Se 0.510 0.599 0.239
Se 0.019 0.119 0.262
Se 0.261 0.625 0.844
Se 0.744 0.370 0.349
Se 0.244 0.130 0.651
Se 0.739 0.125 0.656
Se 0.756 0.630 0.849
Se 0.266 0.631 0.645
Cs 0.743 0.310 0.151
Se 0.491 0.104 0.046

=====

Entry 15:
Cs2GeTe4: optimized geometry, GGA-PBEsol.

Computed properties:
The value obtained for the size of the total moment is 0.00 μB/atom. As for the energy relative to the elements, uncorrected: -0.580 eV/atom.

abc: 7.474 11.495 12.373
angles: 90.00 90.00 90.00
Positions (direct):
Te 0.409 0.076 0.072
Te 0.909 0.924 0.428
Te 0.173 0.750 0.122
Te 0.257 0.250 0.286
Te 0.327 0.750 0.622
Cs 0.901 0.059 0.145
Te 0.743 0.750 0.714
Te 0.909 0.576 0.428
Cs 0.401 0.559 0.355
Cs 0.599 0.059 0.645
Te 0.827 0.250 0.878
Ge 0.008 0.250 0.438
Cs 0.099 0.941 0.855
Te 0.673 0.250 0.378
Cs 0.099 0.559 0.855
Ge 0.492 0.250 0.938
Ge 0.992 0.750 0.562
Te 0.591 0.576 0.928
Cs 0.901 0.441 0.145
Te 0.243 0.250 0.786
Te 0.409 0.424 0.072
Te 0.091 0.076 0.572
Te 0.591 0.924 0.928
Cs 0.599 0.441 0.645
Te 0.091 0.424 0.572
Cs 0.401 0.941 0.355
Ge 0.508 0.750 0.062
Te 0.757 0.750 0.214

=====

Entry 16:
CsGeTe2: optimized geometry, GGA-PBEsol.

Computed properties:
The value obtained for the size of the total moment is 0.00 μB/atom. As for the energy relative to the elements, uncorrected: 0.130 eV/atom.

abc: 3.426 3.426 12.222
angles: 81.94 81.94 60.00
Positions (direct):
Cs 0.500 0.500 0.500
Te 0.919 0.919 0.244
Ge 0.000 0.000 0.000
Te 0.081 0.081 0.756

=====

Entry 17:
Cs2TlGe2: optimized geometry, GGA-PBEsol.

Computed properties:
As for the formation energy: 0.993 eV/f.u. The value obtained for the size of the total moment is 0.00 μB/atom.

abc: 5.397 5.397 7.863
angles: 110.07 110.07 90.00
Positions (direct):
Ge 0.581 0.581 0.162
Cs 0.750 0.250 0.500
Tl 0.000 0.000 0.000
Ge 0.419 0.419 0.838
Cs 0.250 0.750 0.500

=====

Entry 18:
CsTl2Ge2: optimized geometry, GGA-PBEsol.

Computed properties:
As for the formation energy: -0.149 eV/f.u. The value obtained for the size of the total moment is 0.00 μB/atom.

abc: 5.218 5.218 6.444
angles: 113.88 113.88 90.00
Positions (direct):
Ge 0.381 0.381 0.763
Ge 0.619 0.619 0.237
Cs 0.000 0.000 0.000
Tl 0.250 0.750 0.500
Tl 0.750 0.250 0.500

=====

Entry 19:
CsZr2GeW: optimized geometry, GGA-PBEsol.

Computed properties:
As for the formation energy: 14.106 eV/f.u. The value obtained for the size of the total moment is 0.55 μB/atom.

abc: 5.118 5.118 5.197
angles: 90.00 90.00 90.00
Each line ends with the local moment (μB).
Positions (direct):
Cs 0.000 0.000 0.000  0.00
Zr 0.000 0.500 0.000  -0.08
W 0.500 0.500 0.500  2.24
Zr 0.500 0.000 0.000  -0.08
Ge 0.000 0.000 0.500  -0.02

=====

Entry 20:
Cs6ZnGe8: optimized geometry, GGA-PBEsol.

Computed properties:
As for the formation energy: -3.392 eV/f.u. The value obtained for the size of the total moment is 0.00 μB/atom.

abc: 12.315 12.510 13.124
angles: 103.35 117.98 60.51
Positions (direct):
Ge 0.169 0.121 0.816
Ge 0.757 0.223 0.814
Ge 0.602 0.000 0.187
Ge 0.828 0.685 0.814
Ge 0.257 0.539 0.184
Cs 0.565 0.616 0.339
Ge 0.796 0.461 0.184
Cs 0.384 0.293 0.000
Ge 0.203 0.000 0.641
Ge 0.538 0.334 0.639
Ge 0.290 0.879 0.816
Ge 0.474 0.879 0.184
Cs 0.842 0.384 0.661
Ge 0.166 0.777 0.186
Ge 0.073 0.539 0.816
Cs 0.273 0.000 0.365
Cs 0.847 0.710 0.362
Zn 0.387 0.000 0.000
Cs 0.195 0.290 0.638
Cs 0.760 0.000 0.000
Ge 0.899 0.334 0.361
Cs 0.609 0.000 0.664
Cs 0.557 0.290 0.362
Cs 0.385 0.624 0.000
Ge 0.513 0.315 0.814
Ge 0.563 0.000 0.359
Ge 0.980 0.777 0.814
Ge 0.233 0.666 0.361
Ge 0.943 0.223 0.186
Cs 0.908 0.000 0.635
Cs 0.008 0.376 0.000
Ge 0.699 0.315 0.186
Ge 0.612 0.461 0.816
Ge 0.872 0.666 0.639
Ge 0.014 0.685 0.186
Cs 0.226 0.616 0.661
Cs 0.945 0.000 0.336
Cs 0.091 0.000 0.000
Ge 0.354 0.121 0.184
Zn 0.716 0.333 0.000
Cs 0.485 0.710 0.638
Cs 0.677 0.707 0.000
Ge 0.415 0.000 0.813
Cs 0.181 0.384 0.339
Zn 0.049 0.667 0.000

=====

Entry 21:
CsH2: optimized geometry, GGA-PBEsol.

Computed properties:
The value obtained for the size of the total moment is 0.00 μB/atom. The total energy is -2.609 eV per atom.

abc: 4.894 4.894 6.147
angles: 86.08 86.08 70.02
Positions (direct):
H 0.799 0.799 0.257
Cs 0.828 0.828 0.754
Cs 0.172 0.172 0.246
H 0.459 0.459 0.540
H 0.201 0.201 0.743
H 0.541 0.541 0.460